An optimized crystal structure of BRh2WO, computed with PBE+U.

Cell lengths 4.834, 4.834, 2.758 Å; angles 90.00, 90.00, 90.00 degrees
Fractional positions:
B (0.000, 0.000, 0.000)
Rh (0.000, 0.500, 0.500)
Rh (0.500, 0.000, 0.500)
W (0.500, 0.500, 0.000)
O (0.000, 0.000, 0.500)

Summary:
Magnetic moment ... 0.7 μB/cell
E ... -31.048 eV/cell
Space group ... P4/mmm (123)